No. 1
Computed, not measured: TiTl2IO6 after structural relaxation at the PBE level of DFT.

N(E_F)   5.360 states/eV/cell
Raw formation energy   -1.053 eV per atom

Cell and atoms, written as POSCAR:
```
TiTl2IO6
1.0
-2.8995 2.8995 4.0957
2.8995 -2.8995 4.0957
2.8995 2.8995 -4.0957
Ti Tl I O
1 2 1 6
Cartesian
0.0000 0.0000 0.0000
2.8995 0.0000 2.0478
0.0000 2.8995 2.0478
0.0000 0.0000 4.0957
0.0000 0.0000 1.9934
1.4132 1.4132 0.0000
1.4863 -1.4863 4.0957
-1.4863 1.4863 4.0957
1.4863 1.4863 4.0957
0.0000 0.0000 6.1980
```

No. 2
Computed, not measured: ErCd2PbO6 after structural relaxation at the PBE level of DFT.

N(E_F)   6.951 states/eV/cell
Raw formation energy   -1.485 eV per atom

Cell and atoms, written as POSCAR:
```
ErCd2PbO6
1.0
2.8715 1.6579 5.0780
-2.8715 1.6579 5.0780
0.0000 -3.3158 5.0780
Er Cd Pb O
1 2 1 6
Cartesian
0.0000 0.0000 0.0000
0.0000 0.0000 4.3194
0.0000 0.0000 11.9747
0.0000 0.0000 7.5636
-1.6850 0.0650 6.0633
-1.1678 -1.5458 8.5815
0.7862 -1.4917 6.0633
-0.7548 1.7842 8.5815
0.8987 1.4268 6.0633
1.9226 -0.2384 8.5815
```

No. 3
Computed, not measured: SbAs2Pd7 after structural relaxation at the PBE level of DFT.

N(E_F)   4.917 states/eV/cell
Raw formation energy   -0.151 eV per atom

Cell and atoms, written as POSCAR:
```
SbAs2Pd7
1.0
3.7040 -6.0938 0.0000
3.7040 6.0938 0.0000
0.0000 0.0000 4.3636
Sb As Pd
1 2 7
Cartesian
0.0000 0.0000 0.0000
3.7040 2.3684 2.1818
3.7040 -2.3684 2.1818
1.3702 1.4426 2.1818
3.7040 3.3861 0.0000
1.3702 -1.4426 2.1818
3.7040 0.0000 2.1818
6.0378 1.4426 2.1818
3.7040 -3.3861 0.0000
6.0378 -1.4426 2.1818
```

No. 4
Computed, not measured: DyZn2Ag6 after structural relaxation at the PBE level of DFT.

N(E_F)   6.452 states/eV/cell
Energy of formation from the pure elements   -0.069 eV/atom

Cell and atoms, written as POSCAR:
```
DyZn2Ag6
1.0
5.2707 -4.9179 0.0000
5.2707 4.9179 0.0000
-4.1224 0.0000 6.5758
Dy Zn Ag
2 4 12
Cartesian
2.1789 3.8604 4.9319
4.2401 -3.8604 1.6440
0.3709 1.2178 6.3187
3.9869 1.2178 3.5451
2.4321 -1.2178 3.0308
6.0481 -1.2178 0.2572
2.8128 3.2862 2.0605
1.8030 1.0445 0.6871
1.3078 1.2381 3.6564
5.6674 3.2862 1.2274
-0.2582 -1.0445 3.9750
3.3690 -1.2381 0.3685
3.0500 1.2381 6.2073
6.6772 1.0445 2.6008
0.7516 -3.2862 5.3484
5.1112 -1.2381 2.9194
4.6160 -1.0445 5.8887
3.6062 -3.2862 4.5154
```

> N(E_F) of number 2 (ErCd2PbO6)?

6.951 states/eV/cell